(1)
DFT (meta-GGA SCAN) results for a PBEsol-optimized structure of Hg2Te.

Summary:
offset from the most stable computed form = 11 meV/atom
SG = Pnnm, No. 58
D(E_F) = 0.179 states/eV per atom
raw formation energy = -3 kJ/mol of atoms
raw total energy = -57.890 eV/atom

Cell: 5.732 7.102 4.521 Å, 90.00 90.00 90.00°
Fractional positions:
Hg: 0.195 0.118 0.000
Hg: 0.305 0.618 0.500
Hg: 0.695 0.382 0.500
Hg: 0.805 0.882 0.000
Te: 0.000 0.500 0.000
Te: 0.500 0.000 0.500

(2)
DFT (meta-GGA SCAN) results for a PBEsol-optimized structure of SrLiW2.

Summary:
offset from the most stable computed form = 116 meV/atom
SG = Pmmm, No. 47
D(E_F) = 0.681 states/eV per atom
E_form = 439 kJ/mol of formula units
raw total energy = -39.873 eV/atom

Cell: 2.685 5.326 5.329 Å, 90.00 90.00 90.00°
Fractional positions:
Sr: 0.000 0.000 0.000
Li: 0.000 0.500 0.000
W: 0.500 0.247 0.500
W: 0.500 0.753 0.500

(3)
DFT (meta-GGA SCAN) results for a PBEsol-optimized structure of LiBr3.

Summary:
offset from the most stable computed form = 61 meV/atom
SG = R-3m, No. 166
D(E_F) = 0.604 states/eV per atom
raw formation energy = -46 kJ/mol of atoms
raw total energy = -15.668 eV/atom

Cell: 5.139 5.139 5.139 Å, 109.65 109.65 109.65°
Fractional positions:
Li: 0.000 0.000 0.000
Br: 0.000 0.500 0.500
Br: 0.500 0.000 0.500
Br: 0.500 0.500 0.000

(4)
DFT (meta-GGA SCAN) results for a PBEsol-optimized structure of AlSi3C.

Summary:
SG = Pm-3m, No. 221
D(E_F) = 0.391 states/eV per atom
raw formation energy = 219 kJ/mol of atoms
raw total energy = -7.308 eV/atom

Cell: 4.614 4.614 4.614 Å, 90.00 90.00 90.00°
Fractional positions:
Al: 0.000 0.000 0.000
Si: 0.000 0.000 0.500
Si: 0.000 0.500 0.000
Si: 0.500 0.000 0.000
C: 0.500 0.500 0.500

(5)
DFT (meta-GGA SCAN) results for a PBEsol-optimized structure of ZnCuNi2.

Summary:
SG = P4/mmm, No. 123
D(E_F) = 0.214 states/eV per atom
E_form = -26 kJ/mol of formula units
raw total energy = -15.332 eV/atom

Cell: 2.821 2.821 5.579 Å, 90.00 90.00 90.00°
Fractional positions:
Zn: 0.000 0.000 0.000
Cu: 0.000 0.000 0.500
Ni: 0.500 0.500 0.253
Ni: 0.500 0.500 0.747

(6)
DFT (meta-GGA SCAN) results for a PBEsol-optimized structure of Cu2O.

Summary:
SG = Pn-3m, No. 224
raw formation energy = -47 kJ/mol of atoms
raw total energy = -12.693 eV/atom

Cell: 4.213 4.213 4.213 Å, 90.00 90.00 90.00°
Fractional positions:
Cu: 0.000 0.000 0.000
Cu: 0.000 0.500 0.500
Cu: 0.500 0.000 0.500
Cu: 0.500 0.500 0.000
O: 0.250 0.250 0.250
O: 0.750 0.750 0.750

(7)
DFT (meta-GGA SCAN) results for a PBEsol-optimized structure of BeSb4Te.

Summary:
SG = F-43m, No. 216
D(E_F) = 0.425 states/eV per atom
raw formation energy = 75 kJ/mol of atoms
raw total energy = -30.997 eV/atom

Cell: 6.107 6.107 6.107 Å, 60.00 60.00 60.00°
Fractional positions:
Be: 0.000 0.000 0.000
Sb: 0.376 0.376 0.376
Sb: 0.376 0.376 0.873
Sb: 0.376 0.873 0.376
Sb: 0.873 0.376 0.376
Te: 0.750 0.750 0.750

(8)
DFT (meta-GGA SCAN) results for a PBEsol-optimized structure of CsNp2Se6.

Summary:
SG = Immm, No. 71
D(E_F) = 2.179 states/eV per atom
raw formation energy = -99 kJ/mol of atoms
raw total energy = -42.393 eV/atom

Cell: 12.127 12.127 12.127 Å, 161.16 154.31 32.05°
Fractional positions:
Cs: 0.000 0.000 0.000
Np: 0.188 0.188 0.000
Np: 0.812 0.812 0.000
Se: 0.132 0.381 0.751
Se: 0.275 0.775 0.500
Se: 0.370 0.619 0.751
Se: 0.630 0.381 0.249
Se: 0.725 0.225 0.500
Se: 0.868 0.619 0.249